The following is a DFT calculation (PBE) of an optimized crystal structure of Cu2AgPd3.

Its energy of formation from the pure elements is -79 meV per atom.

The space group is P4/mmm (No. 123) and the conventional cell measures 2.937, 2.937 and 10.237 Å, with angles of 90.00, 90.00 and 90.00 degrees. The distinct sites, in fractional coordinates, are Cu at (0.000, 0.000, 0.155), Ag at (0.000, 0.000, 0.500), Pd at (0.500, 0.500, 0.000) and Pd at (0.500, 0.500, 0.309).

---

The following is a DFT calculation (PBE) of an optimized crystal structure of Cu6AgPd12.

Its energy of formation from the pure elements is -58 meV per atom.

The space group is R-3 (No. 148, hexagonal axes) and the conventional cell measures 11.9696, 11.9696 and 6.6961 Å, with angles of 90.00, 90.00 and 120.00 degrees. The distinct sites, in fractional coordinates, are Cu at (0.0338, 0.7535, 0.3295), Ag at (0.0000, 0.0000, 0.0000), Pd at (0.0133, 0.8707, 0.6619) and Pd at (0.0652, 0.5054, 0.6710).

---

The following is a DFT calculation (PBE) of an optimized crystal structure of CuAg2Pd2.

Its energy of formation from the pure elements is 176 meV per atom.

The space group is P4/mbm (No. 127) and the conventional cell measures 6.478, 6.478 and 4.133 Å, with angles of 90.00, 90.00 and 90.00 degrees. The distinct sites, in fractional coordinates, are Cu at (0.000, 0.000, 0.000), Ag at (0.161, 0.339, 0.500) and Pd at (0.143, 0.643, 0.000).

---

The following is a DFT calculation (PBE) of an optimized crystal structure of Cu2Ag2Pd.

Its energy of formation from the pure elements is 120 meV per atom.

The space group is P4/mbm (No. 127) and the conventional cell measures 6.568, 6.568 and 3.638 Å, with angles of 90.00, 90.00 and 90.00 degrees. The distinct sites, in fractional coordinates, are Cu at (0.129, 0.371, 0.000), Ag at (0.171, 0.671, 0.500) and Pd at (0.000, 0.000, 0.000).

---

The following is a DFT calculation (PBE) of an optimized crystal structure of Cu10AgPd4.

Its energy of formation from the pure elements is -15 meV per atom.

The space group is C2/m (No. 12) and the conventional cell measures 11.471, 7.230 and 4.957 Å, with angles of 90.00, 100.67 and 90.00 degrees. The distinct sites, in fractional coordinates, are Cu at (0.000, 0.169, 0.000), Cu at (0.102, 0.335, 0.399), Cu at (0.203, 0.167, 0.799), Ag at (0.000, 0.000, 0.500), Pd at (0.099, 0.500, 0.897) and Pd at (0.199, 0.000, 0.296).

---

The following is a DFT calculation (PBE) of an optimized crystal structure of Cu2Ag3Pd3.

Its energy of formation from the pure elements is 102 meV per atom.

The space group is R32 (No. 155, hexagonal axes) and the conventional cell measures 7.3530, 7.3530 and 8.3843 Å, with angles of 90.00, 90.00 and 120.00 degrees. The distinct sites, in fractional coordinates, are Cu at (0.0000, 0.0000, 0.2398), Ag at (0.0000, 0.2955, 0.5000) and Pd at (0.0000, 0.6977, 0.0000).